No. 1
A geometry-optimized Pm6Ho2TmSc structure. Source: the Alexandria database, functional PBE.

a b c (Å): 8.879 8.879 9.386
angles (deg): 93.47 93.47 117.60
Element x y z (fractional)
Pm: 0.005 0.440 0.806
Pm: 0.121 0.767 0.552
Pm: 0.233 0.879 0.948
Pm: 0.290 0.512 0.387
Pm: 0.440 0.005 0.306
Pm: 0.488 0.710 0.113
Pm: 0.512 0.290 0.887
Pm: 0.560 0.995 0.694
Pm: 0.710 0.488 0.613
Pm: 0.767 0.121 0.052
Pm: 0.879 0.233 0.448
Pm: 0.995 0.560 0.194
Ho: 0.204 0.302 0.048
Ho: 0.302 0.204 0.548
Ho: 0.698 0.796 0.452
Ho: 0.796 0.698 0.952
Tm: 0.026 0.974 0.250
Tm: 0.974 0.026 0.750
Sc: 0.420 0.580 0.750
Sc: 0.580 0.420 0.250

Calculated values
As for the formation energy: 0.128 eV per atom. As for the total energy: -94.4 eV for the cell shown. The calculation puts the density of states at the Fermi level at 27.8 states/eV/cell.

No. 2
A geometry-optimized PmHoTm2Sc2 structure. Source: the Alexandria database, functional PBE.

a b c (Å): 6.723 9.471 5.451
angles (deg): 90.00 90.00 90.00
Element x y z (fractional)
Pm: 0.000 0.000 0.000
Pm: 0.500 0.500 0.500
Ho: 0.000 0.500 0.500
Ho: 0.500 0.000 0.000
Tm: 0.248 0.333 0.000
Tm: 0.252 0.833 0.500
Tm: 0.748 0.167 0.500
Tm: 0.752 0.667 0.000
Sc: 0.250 0.167 0.500
Sc: 0.250 0.667 0.000
Sc: 0.750 0.333 0.000
Sc: 0.750 0.833 0.500

Calculated values
As for the formation energy: 0.077 eV per atom. As for the total energy: -60.9 eV for the cell shown. The calculation puts the density of states at the Fermi level at 20.8 states/eV/cell.

No. 3
A geometry-optimized PmHo6Tm2Sc structure. Source: the Alexandria database, functional PBE.

a b c (Å): 8.665 8.665 9.268
angles (deg): 93.11 93.11 116.88
Element x y z (fractional)
Pm: 0.027 0.973 0.750
Pm: 0.973 0.027 0.250
Ho: 0.003 0.559 0.688
Ho: 0.125 0.757 0.056
Ho: 0.243 0.875 0.444
Ho: 0.292 0.513 0.887
Ho: 0.441 0.997 0.812
Ho: 0.487 0.708 0.613
Ho: 0.513 0.292 0.387
Ho: 0.559 0.003 0.188
Ho: 0.708 0.487 0.113
Ho: 0.757 0.125 0.556
Ho: 0.875 0.243 0.944
Ho: 0.997 0.441 0.312
Tm: 0.204 0.308 0.551
Tm: 0.308 0.204 0.051
Tm: 0.692 0.796 0.949
Tm: 0.796 0.692 0.449
Sc: 0.415 0.585 0.250
Sc: 0.585 0.415 0.750

Calculated values
As for the formation energy: 0.130 eV per atom. As for the total energy: -92.4 eV for the cell shown. The calculation puts the density of states at the Fermi level at 28.6 states/eV/cell.

No. 4
A geometry-optimized PmHoTmSc structure. Source: the Alexandria database, functional PBE.

a b c (Å): 5.539 5.539 5.539
angles (deg): 60.00 60.00 60.00
Element x y z (fractional)
Pm: 0.000 0.000 0.000
Ho: 0.500 0.500 0.500
Tm: 0.250 0.250 0.250
Sc: 0.750 0.750 0.750

Calculated values
As for the formation energy: 0.106 eV per atom. As for the total energy: -19.7 eV for the cell shown. The calculation puts the density of states at the Fermi level at 6.0 states/eV/cell.

No. 5
A geometry-optimized PmHo2Tm4Sc structure. Source: the Alexandria database, functional PBE.

a b c (Å): 9.331 9.331 6.676
angles (deg): 110.94 110.94 88.86
Element x y z (fractional)
Pm: 0.000 0.500 0.000
Pm: 0.500 0.000 0.500
Ho: 0.000 0.000 0.000
Ho: 0.000 0.000 0.500
Ho: 0.000 0.500 0.500
Ho: 0.500 0.000 0.000
Tm: 0.260 0.262 0.513
Tm: 0.260 0.740 0.501
Tm: 0.260 0.740 0.999
Tm: 0.262 0.260 0.013
Tm: 0.738 0.740 0.987
Tm: 0.740 0.260 0.001
Tm: 0.740 0.260 0.499
Tm: 0.740 0.738 0.487
Sc: 0.500 0.500 0.000
Sc: 0.500 0.500 0.500

Calculated values
As for the formation energy: 0.451 eV per atom. As for the total energy: -69.0 eV for the cell shown. The calculation puts the density of states at the Fermi level at 35.4 states/eV/cell.

No. 6
A geometry-optimized Pm2HoTm2Sc structure. Source: the Alexandria database, functional PBE.

a b c (Å): 5.582 10.748 6.201
angles (deg): 90.00 90.00 90.00
Element x y z (fractional)
Pm: 0.000 0.082 0.000
Pm: 0.000 0.918 0.500
Pm: 0.500 0.257 0.168
Pm: 0.500 0.743 0.668
Ho: 0.000 0.257 0.506
Ho: 0.000 0.743 0.006
Tm: 0.000 0.422 0.994
Tm: 0.000 0.578 0.494
Tm: 0.500 0.088 0.667
Tm: 0.500 0.912 0.167
Sc: 0.500 0.420 0.666
Sc: 0.500 0.580 0.166

Calculated values
As for the formation energy: 0.031 eV per atom. As for the total energy: -58.3 eV for the cell shown. The calculation puts the density of states at the Fermi level at 21.4 states/eV/cell.